No. 1
A relaxed RbFeOs3 crystal, computed with PBE.

Summary:
ΔE to the lowest computed polymorph	12.31	eV/f.u.
energy of formation	4.507	eV/atom

The structure in POSCAR format:
```
RbFeOs3
1.0
4.651 0.000 0.000
0.000 4.651 0.000
0.000 0.000 4.651
Os Fe Rb
3 1 1
Direct
0.000 0.500 0.000
0.000 0.000 0.500
0.500 0.000 0.000
0.500 0.500 0.500
0.000 0.000 0.000
```



No. 2
A relaxed RbFeSbOs2 crystal, computed with PBE.

Summary:
formation energy without anion corrections	1.54	eV per atom

The structure in POSCAR format:
```
RbFeSbOs2
1.0
4.681 0.000 0.000
0.000 4.893 0.000
0.000 0.000 4.681
Sb Fe Os Rb
1 1 2 1
Direct
0.000 0.500 0.000
0.000 0.000 0.000
0.000 0.000 0.500
0.500 0.000 0.000
0.500 0.500 0.500
```



No. 3
A relaxed RbTiFe2Os crystal, computed with PBE.

Summary:
energy of formation	2.757	eV/atom

The structure in POSCAR format:
```
RbTiFe2Os
1.0
4.332 0.000 0.000
0.000 4.632 0.000
0.000 0.000 4.332
Ti Fe Os Rb
1 2 1 1
Direct
0.000 0.500 0.000
0.000 0.000 0.500
0.500 0.000 0.000
0.500 0.500 0.500
0.000 0.000 0.000
```



No. 4
A relaxed FeReOs crystal, computed with PBE.

Summary:
ΔE to the lowest computed polymorph	0.16	eV/f.u.
energy of formation	0.128	eV/atom

The structure in POSCAR format:
```
FeReOs
1.0
4.178 0.000 0.000
-2.089 3.618 0.000
0.000 0.000 2.689
Os Fe Re
1 1 1
Direct
0.333 0.667 0.333
0.000 0.000 0.834
0.667 0.333 0.833
```



No. 5
A relaxed FeRe2Os crystal, computed with PBE.

Summary:
ΔE to the lowest computed polymorph	0.32	eV/f.u.
energy of formation	0.099	eV/atom

The structure in POSCAR format:
```
FeRe2Os
1.0
-0.358 1.293 2.369
-3.636 -1.133 0.068
1.444 -4.475 2.661
Fe Re Os
1 2 1
Direct
0.000 0.000 0.501
0.000 0.000 0.994
0.500 0.500 0.265
0.500 0.500 0.740
```



No. 6
A relaxed FeReOs crystal, computed with PBE.

Summary:
ΔE to the lowest computed polymorph	0.00	eV/f.u.
energy of formation	0.075	eV/atom

The structure in POSCAR format:
```
FeReOs
1.0
4.623 -0.025 0.007
2.293 4.014 -0.007
-3.084 -2.644 2.208
Re Fe Os
1 1 1
Direct
0.334 0.334 0.000
0.001 0.001 0.000
0.665 0.665 0.000
```



No. 7
A relaxed FeRe2Os crystal, computed with PBE.

Summary:
ΔE to the lowest computed polymorph	0.36	eV/f.u.
energy of formation	0.110	eV/atom

The structure in POSCAR format:
```
FeRe2Os
1.0
2.712 0.000 0.000
0.000 2.712 0.000
0.000 0.000 7.510
Os Re Fe
1 2 1
Direct
0.500 0.500 0.739
0.500 0.500 0.273
0.000 0.000 0.991
0.000 0.000 0.497
```



No. 8
A relaxed FeRe2Os crystal, computed with PBE.

Summary:
ΔE to the lowest computed polymorph	0.27	eV/f.u.
energy of formation	0.088	eV/atom

The structure in POSCAR format:
```
FeRe2Os
1.0
-0.252 3.428 3.154
-3.633 0.282 -2.913
-1.434 -1.608 1.633
Os Re Fe
1 2 1
Direct
0.000 0.500 0.500
0.000 0.000 0.000
0.500 0.500 0.000
0.500 0.000 0.500
```